#A
Below is CoRhW2 after structural relaxation, with properties calculated at the PBE-GGA level.

Unit cell a=3.841 b=2.718 c=6.042 alpha=63.90 beta=90.00 gamma=90.00
Element x y z (fractional)
W  0.000  0.997  0.008
W  0.000  0.503  0.492
Co  0.500  0.250  0.250
Rh  0.500  0.750  0.750

The density of states at the Fermi level is 3.1 states/eV per cell. The space-group type is P2/m, No. 10.

#B
Below is CoRhW2 after structural relaxation, with properties calculated at the PBE-GGA level.

Unit cell a=9.017 b=9.017 c=9.017 alpha=17.58 beta=17.58 gamma=17.58
Site moments in Bohr magnetons follow the coordinates.
Element x y z (fractional)
Rh  0.752  0.752  0.752  0.07
W  0.004  0.004  0.004  -0.03
Co  0.500  0.500  0.500  0.56
W  0.243  0.243  0.243  -0.07

The density of states at the Fermi level is 3.9 states/eV per cell. The space-group type is R3m, No. 160.

#A has the most favorable energy; the next structure is 21.5 kJ/mol of atoms above.

#A
Below is CoRhW2 after structural relaxation, with properties calculated at the PBE-GGA level.

Unit cell a=4.713 b=4.713 c=4.713 alpha=132.07 beta=132.06 gamma=70.13
Element x y z (fractional)
Co  0.750  0.250  0.500
W  0.500  0.500  0.000
W  0.000  0.000  0.000
Rh  0.250  0.750  0.500

The density of states at the Fermi level is 2.2 states/eV per cell. The space-group type is I4/mmm, No. 139.

#B
Below is CoRhW2 after structural relaxation, with properties calculated at the PBE-GGA level.

Unit cell a=2.720 b=2.720 c=7.626 alpha=90.00 beta=90.00 gamma=90.02
Element x y z (fractional)
Co  0.500  0.500  0.250
W  0.000  0.000  0.013
Rh  0.500  0.500  0.750
W  0.000  0.000  0.487

The density of states at the Fermi level is 2.6 states/eV per cell. The space-group type is P4/mmm, No. 123.

#B has the most favorable energy; the next structure is 0.5 kJ/mol of atoms above.

#A
Below is CoRhW2 after structural relaxation, with properties calculated at the PBE-GGA level.

Unit cell a=4.337 b=4.337 c=4.337 alpha=60.00 beta=60.00 gamma=60.00
Element x y z (fractional)
W  0.750  0.750  0.750
Rh  0.250  0.250  0.250
W  0.000  0.000  0.000
Co  0.500  0.500  0.500

The density of states at the Fermi level is 6.1 states/eV per cell. The space-group type is F-43m, No. 216.

#B
Below is CoRhW2 after structural relaxation, with properties calculated at the PBE-GGA level.

Unit cell a=6.050 b=4.708 c=2.722 alpha=89.91 beta=63.43 gamma=120.87
Element x y z (fractional)
W  0.000  0.000  0.000
W  0.500  0.000  0.500
Rh  0.500  0.500  0.000
Co  0.000  0.500  0.500

The density of states at the Fermi level is 2.6 states/eV per cell. The space-group type is C2/m, No. 12.

#C
Below is CoRhW2 after structural relaxation, with properties calculated at the PBE-GGA level.

Unit cell a=2.735 b=2.735 c=7.654 alpha=90.00 beta=90.00 gamma=90.01
Site moments in Bohr magnetons follow the coordinates.
Element x y z (fractional)
W  0.000  0.000  0.987  -0.05
Rh  0.500  0.500  0.738  0.06
Co  0.000  0.000  0.499  0.47
W  0.500  0.500  0.275  -0.07

The density of states at the Fermi level is 2.8 states/eV per cell. The space-group type is P4mm, No. 99.

#D
Below is CoRhW2 after structural relaxation, with properties calculated at the PBE-GGA level.

Unit cell a=4.718 b=4.718 c=4.719 alpha=79.99 beta=79.99 gamma=34.04
Site moments in Bohr magnetons follow the coordinates.
Element x y z (fractional)
W  0.498  0.498  0.505  -0.04
Co  0.750  0.750  0.750  0.82
W  0.002  0.002  0.995  -0.04
Rh  0.250  0.250  0.250  0.10

The density of states at the Fermi level is 4.2 states/eV per cell. The space-group type is C2/m, No. 12.

#B has the most favorable energy; the next structure is 7.1 kJ/mol of atoms above.

#A
Below is CoRhW2 after structural relaxation, with properties calculated at the PBE-GGA level.

Unit cell a=4.349 b=4.349 c=4.349 alpha=60.00 beta=60.00 gamma=60.00
Site moments in Bohr magnetons follow the coordinates.
Element x y z (fractional)
W  0.250  0.250  0.250  0.06
Co  0.000  0.000  0.000  1.13
W  0.750  0.750  0.750  0.06
Rh  0.500  0.500  0.500  -0.12

The density of states at the Fermi level is 7.3 states/eV per cell. The space-group type is Fm-3m, No. 225.

#B
Below is CoRhW2 after structural relaxation, with properties calculated at the PBE-GGA level.

Unit cell a=8.922 b=8.922 c=8.922 alpha=17.75 beta=17.75 gamma=17.75
Site moments in Bohr magnetons follow the coordinates.
Element x y z (fractional)
Co  0.250  0.250  0.250  0.08
W  0.503  0.503  0.503  -0.01
W  0.997  0.997  0.997  -0.01
Rh  0.750  0.750  0.750  -0.01

The density of states at the Fermi level is 3.7 states/eV per cell. The space-group type is R-3m, No. 166.

#C
Below is CoRhW2 after structural relaxation, with properties calculated at the PBE-GGA level.

Unit cell a=4.371 b=2.735 c=4.748 alpha=90.00 beta=90.00 gamma=90.00
Element x y z (fractional)
Rh  0.500  0.625  0.794
W  0.000  0.125  0.955
Co  0.000  0.625  0.442
W  0.500  0.125  0.308

The density of states at the Fermi level is 3.6 states/eV per cell. The space-group type is Pmm2, No. 25.

#C has the most favorable energy; the next structure is 15.9 kJ/mol of atoms above.

#A
Below is CoRhW2 after structural relaxation, with properties calculated at the PBE-GGA level.

Unit cell a=3.801 b=3.801 c=9.105 alpha=77.95 beta=77.95 gamma=90.00
Site moments in Bohr magnetons follow the coordinates.
Element x y z (fractional)
W  0.875  0.857  0.750  0.00
Co  0.500  0.500  0.000  0.55
Co  0.250  0.750  0.500  0.55
Rh  0.750  0.250  0.500  0.04
W  0.375  0.393  0.750  0.00
Rh  0.000  0.000  0.000  0.04
W  0.607  0.125  0.250  0.01
W  0.143  0.625  0.250  0.01

The density of states at the Fermi level is 10.6 states/eV per cell. The space-group type is I-42d, No. 122.

#B
Below is CoRhW2 after structural relaxation, with properties calculated at the PBE-GGA level.

Unit cell a=4.704 b=4.704 c=4.706 alpha=131.52 beta=131.53 gamma=70.91
Element x y z (fractional)
Co  0.500  0.500  0.000
W  0.750  0.250  0.500
W  0.000  0.000  0.000
Rh  0.250  0.750  0.500

The density of states at the Fermi level is 5.0 states/eV per cell. The space-group type is F222, No. 22.

#C
Below is CoRhW2 after structural relaxation, with properties calculated at the PBE-GGA level.

Unit cell a=4.649 b=4.649 c=4.773 alpha=80.25 beta=80.25 gamma=34.33
Element x y z (fractional)
Rh  0.246  0.246  0.241
W  0.998  0.998  0.022
Co  0.498  0.498  0.523
W  0.757  0.757  0.714

The density of states at the Fermi level is 3.6 states/eV per cell. The space-group type is Cm, No. 8.

#C has the most favorable energy; the next structure is 7.0 kJ/mol of atoms above.

#A
Below is CoRhW after structural relaxation, with properties calculated at the PBE-GGA level.

Unit cell a=3.712 b=4.642 c=5.518 alpha=107.33 beta=90.00 gamma=113.57
Element x y z (fractional)
W  0.167  0.335  0.105
Rh  0.837  0.674  0.410
Co  0.507  0.014  0.778
Rh  0.163  0.326  0.590
W  0.833  0.665  0.895
Co  0.493  0.986  0.222

The density of states at the Fermi level is 6.3 states/eV per cell. The space-group type is C2/m, No. 12.

#B
Below is CoRhW after structural relaxation, with properties calculated at the PBE-GGA level.

Unit cell a=4.668 b=4.668 c=4.668 alpha=146.11 beta=133.34 gamma=58.90
Site moments in Bohr magnetons follow the coordinates.
Element x y z (fractional)
Co  0.002  0.002  0.000  0.80
W  0.662  0.662  0.000  -0.09
Rh  0.336  0.336  0.000  0.11

The density of states at the Fermi level is 3.7 states/eV per cell. The space-group type is Imm2, No. 44.

#C
Below is CoRhW after structural relaxation, with properties calculated at the PBE-GGA level.

Unit cell a=4.211 b=4.211 c=2.686 alpha=90.00 beta=90.00 gamma=120.00
Site moments in Bohr magnetons follow the coordinates.
Element x y z (fractional)
W  0.333  0.667  0.788  -0.04
Co  0.000  0.000  0.879  0.30
Rh  0.667  0.333  0.334  0.03

The density of states at the Fermi level is 3.8 states/eV per cell. The space-group type is P3m1, No. 156.

#B has the most favorable energy; the next structure is 6.6 kJ/mol of atoms above.

#A
Below is Co3RhW after structural relaxation, with properties calculated at the PBE-GGA level.

Unit cell a=4.372 b=4.372 c=4.372 alpha=90.00 beta=90.00 gamma=90.00
Site moments in Bohr magnetons follow the coordinates.
Element x y z (fractional)
Rh  0.500  0.500  0.500  0.67
Co  0.000  0.000  0.500  0.54
Co  0.000  0.500  0.000  0.54
Co  0.500  0.000  0.000  0.91
W  0.000  0.000  0.000  -0.16

The density of states at the Fermi level is 8.6 states/eV per cell. The space-group type is Pm-3m, No. 221.

#B
Below is Co3RhW after structural relaxation, with properties calculated at the PBE-GGA level.

Unit cell a=4.396 b=4.396 c=4.396 alpha=90.00 beta=90.00 gamma=90.00
Site moments in Bohr magnetons follow the coordinates.
Element x y z (fractional)
Co  0.500  0.000  0.000  1.50
W  0.500  0.500  0.500  1.36
Co  0.000  0.500  0.000  1.84
Rh  0.000  0.000  0.000  1.03
Co  0.000  0.000  0.500  2.22

The density of states at the Fermi level is 8.4 states/eV per cell. The space-group type is Pm-3m, No. 221.

#A has the most favorable energy; the next structure is 20.1 kJ/mol of atoms above.

#A
Below is CoRh4W after structural relaxation, with properties calculated at the PBE-GGA level.

Unit cell a=5.021 b=5.021 c=5.021 alpha=60.00 beta=60.00 gamma=60.00
Site moments in Bohr magnetons follow the coordinates.
Element x y z (fractional)
Rh  0.375  0.375  0.375  0.12
Rh  0.375  0.876  0.375  0.12
W  0.750  0.750  0.750  -0.25
Rh  0.375  0.375  0.876  0.12
Rh  0.876  0.375  0.375  0.12
Co  0.000  0.000  0.000  1.88

The density of states at the Fermi level is 8.1 states/eV per cell. The space-group type is F-43m, No. 216.

#B
Below is CoRh4W after structural relaxation, with properties calculated at the PBE-GGA level.

Unit cell a=5.799 b=5.810 c=5.810 alpha=90.00 beta=90.00 gamma=90.07
Site moments in Bohr magnetons follow the coordinates.
Element x y z (fractional)
W  0.000  0.750  0.250  -0.14
Rh  0.744  0.000  0.000  0.36
Co  0.500  0.250  0.250  2.07
Rh  0.256  0.500  0.000  0.36
Rh  0.744  0.500  0.000  0.36
Rh  0.256  0.000  0.000  0.36
W  0.000  0.250  0.750  -0.14
Rh  0.256  0.000  0.500  0.36
Co  0.500  0.750  0.750  2.07
Rh  0.256  0.500  0.500  0.36
Rh  0.744  0.000  0.500  0.36
Rh  0.744  0.500  0.500  0.36

The density of states at the Fermi level is 9.4 states/eV per cell. The space-group type is P4/mmm, No. 123.

#B has the most favorable energy; the next structure is 10.6 kJ/mol of atoms above.